Here is a PBEsol-optimized structure of SrCd2Au from the Alexandria database. Energies are from meta-GGA SCAN.

a = 4.802 Å, b = 4.802 Å, c = 5.821 Å
α = 65.64°, β = 65.64°, γ = 60.00°
Sites, in units of the cell vectors:
Cd 0.024 0.024 0.928
Cd 0.284 0.284 0.147
Sr 0.493 0.493 0.520
Au 0.698 0.698 0.906

## Properties
Magnetic moment (μB per cell): 0.00
Theoretical density (g/cm3): 8.28
Formation energy from the elements (kJ per mole of atoms): -48
Symmetry: No. 160
Energy (eV per cell): -154.26